1.
La3In | GGA-PBEsol | optimized geometry

Cell: 6.6444 6.6444 6.6444 Å, 148.33 64.44 125.48°
Atoms (fractional coordinates):
La1 0.0000 0.0000 0.0000
La2 0.1336 0.3623 0.7713
La3 0.5910 0.3623 0.2287
In1 0.5358 0.0358 0.5000

Values from the calculation:
density = 7.11 g/cm³
size of the total moment = 0.0 μB per formula unit
excess energy over the best structure of this formula in the dataset = 0.21 eV per formula unit
DOS at the Fermi energy = 5.190 states/eV/f.u.
ΔE_f = -1.099 eV/f.u.

2.
SrY2Pb | GGA-PBEsol | optimized geometry

Cell: 3.7192 3.7192 9.4824 Å, 90.00 90.00 90.00°
Atoms (fractional coordinates):
Sr1 0.0000 0.0000 0.0000
Y1 0.0000 0.0000 0.5566
Y2 0.5000 0.5000 0.3129
Pb1 0.5000 0.5000 0.7612

Values from the calculation:
density = 5.98 g/cm³
size of the total moment = 0.7 μB per formula unit
DOS at the Fermi energy = 4.652 states/eV/f.u.
ΔE_f = -0.831 eV/f.u.

What is the density in the second record?
5.98 g/cm³